Here is an optimized crystal structure of Mg2VTcO6 from Alexandria via LeMat-Bulk. Energies are from PBE+U.

Output
VASP energy ... -68.83 eV for the cell shown
D(E_F) ... 2.742 states/eV/cell
Space-group type ... P4mm (99)

abc: 3.8680 5.6741 5.6741
angles: 90.00 90.00 90.00
With the nearest neighbours (Å) after each atom.
Fractional coordinates of all 10 atoms:
Mg: 0.8634 0.0000 0.5000  4 O 2.06
O: 0.2064 0.0000 0.0000  1 V 1.70
Tc: 0.7051 0.5000 0.5000  6 O 1.91-2.05
O: 0.7377 0.7548 0.2452  1 V 2.00, 1 Tc 2.05, 2 Mg 2.06
O: 0.7377 0.2452 0.7548  1 V 2.00, 1 Tc 2.05, 2 Mg 2.06
V: 0.6460 0.0000 0.0000  1 O 1.70
Mg: 0.8634 0.5000 0.0000  4 O 2.06
O: 0.7377 0.7548 0.7548  1 V 2.00, 1 Tc 2.05, 2 Mg 2.06
O: 0.7377 0.2452 0.2452  1 V 2.00, 1 Tc 2.05, 2 Mg 2.06
O: 0.2117 0.5000 0.5000  2 Tc 1.91-1.96